The following is a DFT calculation (PBE) of a geometry-optimized Nd12SmHo3 structure.

Summary:
The volume is 548.4 Å³ per cell. The value obtained for the calculated total energy is -75.448 eV per cell. The formation energy is 14 meV/atom.

Cell lengths 5.1608, 5.1608, 20.5906 Å; angles 90.00, 90.00, 90.00 degrees
Space group P4/mmm (No. 123)
Asymmetric unit:
Nd: 0.0000 0.0000 0.0000 x1
Nd: 0.0000 0.0000 0.2487 x2
Nd: 0.0000 0.0000 0.5000 x1
Nd: 0.0000 0.5000 0.1246 x4
Nd: 0.0000 0.5000 0.3737 x4
Sm: 0.5000 0.5000 0.5000 x1
Ho: 0.5000 0.5000 0.0000 x1
Ho: 0.5000 0.5000 0.2490 x2

---

The following is a DFT calculation (PBE) of a geometry-optimized Nd7SmHo2 structure.

Summary:
The volume is 835.3 Å³ per cell. The value obtained for the calculated total energy is -81.737 eV per cell. The formation energy is 638 meV/atom.

Cell lengths 8.9410, 16.2990, 5.7318 Å; angles 90.00, 90.00, 90.00 degrees
Space group Cmmm (No. 65)
Asymmetric unit:
Nd: 0.0000 0.0000 0.0000 x2
Nd: 0.0000 0.2745 0.5000 x4
Nd: 0.1794 0.3848 0.0000 x8
Sm: 0.0000 0.5000 0.5000 x2
Ho: 0.0000 0.2044 0.0000 x4

---

The following is a DFT calculation (PBE) of a geometry-optimized Nd2SmHo6 structure.

Summary:
The volume is 1173.0 Å³ per cell. The value obtained for the calculated total energy is -163.011 eV per cell. The energy above the lowest structure with this stoichiometry is 0 meV/atom. The formation energy is 108 meV/atom.

Cell lengths 12.8627, 14.2277, 6.5864 Å; angles 90.00, 103.31, 90.00 degrees
Space group C2/c (No. 15)
Asymmetric unit:
Nd: 0.1426 0.0265 0.3734 x8
Sm: 0.0000 0.3808 0.2500 x4
Ho: 0.0347 0.1882 0.0021 x8
Ho: 0.1326 0.4119 0.8178 x8
Ho: 0.2399 0.2023 0.7319 x8

---

The following is a DFT calculation (PBE) of a geometry-optimized Nd2Sm5Ho6 structure.

Summary:
The volume is 863.2 Å³ per cell. The value obtained for the calculated total energy is -118.698 eV per cell. The formation energy is 96 meV/atom.

Cell lengths 11.7283, 20.4687, 3.5959 Å; angles 90.00, 90.00, 90.00 degrees
Space group Pbam (No. 55)
Asymmetric unit:
Nd: 0.1715 0.2164 0.0000 x4
Sm: 0.0000 0.5000 0.5000 x2
Sm: 0.0876 0.7780 0.5000 x4
Sm: 0.2003 0.0519 0.5000 x4
Ho: 0.0606 0.9224 0.0000 x4
Ho: 0.0770 0.6343 0.0000 x4
Ho: 0.1798 0.3707 0.5000 x4

---

The following is a DFT calculation (PBE) of a geometry-optimized Nd4Sm3Ho5 structure.

Summary:
The volume is 812.1 Å³ per cell. The value obtained for the calculated total energy is -106.950 eV per cell. The energy above the lowest structure with this stoichiometry is 204 meV/atom. The formation energy is 220 meV/atom.

Cell lengths 16.1445, 5.9743, 9.3918 Å; angles 90.00, 116.29, 90.00 degrees
Space group C2/m (No. 12)
Asymmetric unit:
Nd: 0.0841 0.0000 0.4452 x4
Nd: 0.2122 0.0000 0.8822 x4
Sm: 0.0000 0.5000 0.0000 x2
Sm: 0.2105 0.0000 0.2342 x4
Ho: 0.0000 0.0000 0.0000 x2
Ho: 0.0712 0.5000 0.6984 x4
Ho: 0.1716 0.5000 0.3862 x4

---

The following is a DFT calculation (PBE) of a geometry-optimized Nd2Sm15Ho2 structure.

Summary:
The volume is 1975.2 Å³ per cell. The value obtained for the calculated total energy is -252.427 eV per cell. The formation energy is 281 meV/atom.

Cell lengths 11.1747, 11.1747, 18.2647 Å; angles 90.00, 90.00, 120.00 degrees
Space group R-3m (No. 166, hexagonal axes)
Asymmetric unit:
Nd: 0.0000 0.0000 0.0909 x6
Sm: 0.0000 0.2998 0.0000 x18
Sm: 0.0000 0.5000 0.5000 x9
Sm: 0.0247 0.5124 0.1311 x18
Ho: 0.0000 0.0000 0.3155 x6

---

The following is a DFT calculation (PBE) of a geometry-optimized Nd12SmHo2 structure.

Summary:
The volume is 1104.4 Å³ per cell. The value obtained for the calculated total energy is -132.795 eV per cell. The formation energy is 313 meV/atom.

Cell lengths 6.5581, 6.5581, 25.6777 Å; angles 90.00, 90.00, 90.00 degrees
Space group P4/nbm (No. 125, origin choice 2)
Asymmetric unit:
Nd: 0.0680 0.5680 0.1150 x8
Nd: 0.0817 0.5817 0.5623 x8
Nd: 0.2500 0.2500 0.2158 x4
Nd: 0.2500 0.2500 0.3372 x4
Sm: 0.2500 0.7500 0.0000 x2
Ho: 0.2500 0.7500 0.2726 x4

---

The following is a DFT calculation (PBE) of a geometry-optimized Nd2SmHo6 structure.

Summary:
The volume is 965.4 Å³ per cell. The value obtained for the calculated total energy is -115.112 eV per cell. The energy above the lowest structure with this stoichiometry is 265 meV/atom. The formation energy is 372 meV/atom.

Cell lengths 6.9569, 6.9569, 23.0313 Å; angles 90.00, 90.00, 120.00 degrees
Space group R3m (No. 160, hexagonal axes)
Asymmetric unit:
Nd: 0.0000 0.0000 0.0000 x3
Nd: 0.0000 0.0000 0.1586 x3
Sm: 0.0000 0.0000 0.7512 x3
Ho: 0.0053 0.5026 0.9733 x9
Ho: 0.1702 0.3403 0.5279 x9

---

The following is a DFT calculation (PBE) of a geometry-optimized Nd2Sm4Ho3 structure.

Summary:
The volume is 605.7 Å³ per cell. The value obtained for the calculated total energy is -82.744 eV per cell. The energy above the lowest structure with this stoichiometry is 34 meV/atom. The formation energy is 86 meV/atom.

Cell lengths 18.0001, 3.5551, 9.7552 Å; angles 90.00, 104.00, 90.00 degrees
Space group C2/m (No. 12)
Asymmetric unit:
Nd: 0.1595 0.0000 0.2062 x4
Sm: 0.0132 0.0000 0.6808 x4
Sm: 0.1551 0.5000 0.5268 x4
Ho: 0.0000 0.5000 0.0000 x2
Ho: 0.1705 0.5000 0.8993 x4

---

The following is a DFT calculation (PBE) of a geometry-optimized NdSm3Ho6 structure.

Summary:
The volume is 984.3 Å³ per cell. The value obtained for the calculated total energy is -130.518 eV per cell. The energy above the lowest structure with this stoichiometry is 140 meV/atom. The formation energy is 289 meV/atom.

Cell lengths 9.8922, 9.8922, 11.6150 Å; angles 90.00, 90.00, 120.00 degrees
Space group R3 (No. 146, hexagonal axes)
Asymmetric unit:
Nd: 0.0000 0.0000 0.0000 x3
Sm: 0.0000 0.0000 0.2520 x3
Sm: 0.0000 0.0000 0.5001 x3
Sm: 0.0000 0.0000 0.7493 x3
Ho: 0.9995 0.3280 0.9982 x9
Ho: 0.9996 0.6726 0.4982 x9

---

The following is a DFT calculation (PBE) of a geometry-optimized Nd7SmHo12 structure.

Summary:
The volume is 1444.5 Å³ per cell. The value obtained for the calculated total energy is -160.505 eV per cell. The formation energy is 639 meV/atom.

Cell lengths 11.3041, 11.3041, 11.3041 Å; angles 90.00, 90.00, 90.00 degrees
Space group Im-3m (No. 229)
Asymmetric unit:
Nd: 0.0000 0.0000 0.5000 x6
Nd: 0.2500 0.2500 0.2500 x8
Sm: 0.0000 0.0000 0.0000 x2
Ho: 0.0000 0.2488 0.2488 x24

---

The following is a DFT calculation (PBE) of a geometry-optimized Nd4Sm3Ho5 structure.

Summary:
The volume is 396.4 Å³ per cell. The value obtained for the calculated total energy is -55.927 eV per cell. The energy above the lowest structure with this stoichiometry is 0 meV/atom. The formation energy is 16 meV/atom.

Cell lengths 6.2417, 7.1994, 8.8211 Å; angles 90.11, 90.04, 90.08 degrees
Space group P-1 (No. 2)
Asymmetric unit:
Nd: 0.1683 0.0000 0.1698 x2
Nd: 0.3322 0.2514 0.8317 x2
Sm: 0.3319 0.7486 0.8316 x2
Sm: 0.5000 0.5000 0.5000 x1
Ho: 0.9996 0.2517 0.4999 x2
Ho: 0.1656 0.5000 0.1696 x2
Ho: 0.5000 0.0000 0.5000 x1